Crystalline CsKP at its relaxed geometry, computed with GGA-PBE.

Geometry as extended XYZ:
```
6
Lattice="6.4371 0.0000 0.0000 -0.7399 6.8643 0.0000 -0.7805 -2.2687 6.4869" Properties=species:S:1:pos:R:3 pbc="T T T"
Cs -0.3500 1.6334 1.2970
Cs 5.2667 2.9622 5.1899
K 2.2083 -0.2330 4.6091
K 2.7084 4.8286 1.8778
P -0.6284 5.1634 2.4452
P 5.5451 -0.5678 4.0417
```

As for the symmetry: P-1 (2). As for the volume: 47.772 A^3/atom. For the formation energy, the calculation gives -0.222 eV per atom. The total energy comes out at -2.68 eV/atom.

---

Crystalline Re3Os2 at its relaxed geometry, computed with GGA-PBE.

Geometry as extended XYZ:
```
15
Lattice="2.7470 0.0000 0.0000 -1.3735 2.3790 0.0000 0.0000 0.0000 33.8283" Properties=species:S:1:pos:R:3 pbc="T T T"
Re 0.0000 0.0000 0.0000
Re 0.0000 0.0000 6.7657
Re 0.0000 0.0000 27.0626
Re 0.0000 1.5860 15.7864
Re 0.0000 1.5860 22.5522
Re 0.0000 1.5860 29.3179
Re 1.3735 0.7930 4.5104
Re 1.3735 0.7930 11.2761
Re 1.3735 0.7930 18.0418
Os 0.0000 0.0000 13.5156
Os 0.0000 0.0000 20.3127
Os 0.0000 1.5860 2.2394
Os 0.0000 1.5860 9.0367
Os 1.3735 0.7930 24.7916
Os 1.3735 0.7930 31.5889
```

As for the symmetry: R-3m (166). As for the volume: 14.738 A^3/atom. For the formation energy, the calculation gives 0.067 eV per atom. The total energy comes out at -11.89 eV/atom.

---

Crystalline TaIrBr2 at its relaxed geometry, computed with GGA-PBE.

Geometry as extended XYZ:
```
8
Lattice="14.8117 0.0000 0.0000 0.0000 3.2581 0.0000 -0.2324 0.0000 4.3067" Properties=species:S:1:pos:R:3 pbc="T T T"
Ta 0.0000 0.0000 0.0000
Ta 7.4058 1.6291 0.0000
Ir -0.1162 1.6291 2.1533
Ir 7.2896 0.0000 2.1533
Br 2.0523 1.6291 0.8885
Br 5.1211 0.0000 3.4182
Br 9.4582 0.0000 0.8885
Br 12.5270 1.6291 3.4182
```

As for the symmetry: C2/m (12). As for the volume: 25.979 A^3/atom. Its formation energy from raw total energies is 0.030 eV per atom. The total energy comes out at -5.98 eV/atom.

---

Crystalline Tl3Cu2PdO6 at its relaxed geometry, computed with GGA-PBE.

Geometry as extended XYZ:
```
12
Lattice="5.9859 0.0000 0.0000 -2.9930 5.1840 0.0000 0.0000 0.0000 6.1131" Properties=species:S:1:pos:R:3 pbc="T T T"
Tl 0.0000 0.0000 0.0000
Tl 0.0000 3.4560 4.6651
Tl 2.9930 1.7280 1.4479
Cu 0.0000 3.4560 1.8221
Cu 2.9930 1.7280 4.2910
Pd 0.0000 0.0000 3.0565
O 0.0000 1.5775 1.7174
O -1.6268 4.3952 1.7174
O 1.3662 0.7888 4.3957
O 1.6268 4.3952 1.7174
O 4.6198 0.7888 4.3957
O 2.9930 3.6065 4.3957
```

As for the symmetry: P-3m1 (164). As for the volume: 15.808 A^3/atom. Its formation energy from raw total energies is -0.446 eV per atom. The total energy comes out at -4.63 eV/atom.

---

Crystalline Hg4P2Cl3 at its relaxed geometry, computed with GGA-PBE.

Geometry as extended XYZ:
```
18
Lattice="7.1278 -4.4897 0.0000 7.1278 4.4897 0.0000 -0.2618 0.0000 8.1773" Properties=species:S:1:pos:R:3 pbc="T T T"
Hg 6.3362 2.5091 4.1370
Hg 3.7631 0.1871 1.8218
Hg 7.5267 2.5091 8.1290
Hg 3.6322 -0.1871 5.9105
Hg 10.3616 0.1871 2.2668
Hg 6.4671 -2.5091 0.0483
Hg 10.2307 -0.1871 6.3555
Hg 7.6576 -2.5091 4.0404
P 4.1121 1.3854 4.0025
P 3.9812 -1.3854 8.0912
P 10.0126 1.3854 0.0861
P 9.8817 -1.3854 4.1748
Cl 7.0624 4.3909 2.0443
Cl 5.0589 2.0251 7.9405
Cl 8.8041 2.0251 4.3255
Cl 5.1897 -2.0251 3.8518
Cl 8.9350 -2.0251 0.2369
Cl 6.9315 -4.3909 6.1330
```

As for the symmetry: C2/c (15). As for the volume: 29.077 A^3/atom. Its formation energy from raw total energies is -0.259 eV per atom. The total energy comes out at -2.21 eV/atom.

---

Crystalline Tb3PmDy7 at its relaxed geometry, computed with GGA-PBE.

Geometry as extended XYZ:
```
11
Lattice="7.0554 0.0000 0.0000 -3.5277 6.1101 0.0000 0.0000 0.0000 8.6106" Properties=species:S:1:pos:R:3 pbc="T T T"
Tb 0.0000 2.0410 0.0000
Tb -1.7601 5.0896 0.0000
Tb 1.7601 5.0896 0.0000
Pm 0.0000 0.0000 5.6967
Dy -1.7518 3.0620 5.7229
Dy 1.7533 1.0123 2.8631
Dy 0.0000 4.0734 2.8938
Dy 1.7518 3.0620 5.7229
Dy 0.0000 6.0963 5.7229
Dy 5.3020 1.0123 2.8631
Dy 3.5277 4.0856 2.8631
```

As for the symmetry: P3m1 (156). As for the volume: 33.745 A^3/atom. For the formation energy, the calculation gives 0.190 eV per atom. The total energy comes out at -4.43 eV/atom.

---

Crystalline CaGaHPt2 at its relaxed geometry, computed with GGA-PBE.

Geometry as extended XYZ:
```
10
Lattice="1.9635 -5.5311 0.0000 1.9635 5.5311 0.0000 0.0000 0.0000 7.3762" Properties=species:S:1:pos:R:3 pbc="T T T"
Ca 1.9635 5.0121 5.5321
Ca 1.9635 -5.0121 1.8440
Ga 1.9635 2.9730 1.8440
Ga 1.9635 -2.9730 5.5321
H 1.9635 0.0000 0.0000
H 1.9635 0.0000 3.6881
Pt 1.9635 1.7232 4.0847
Pt 1.9635 1.7232 6.9795
Pt 1.9635 -1.7232 0.3966
Pt 1.9635 -1.7232 3.2914
```

As for the symmetry: Cmcm (63). As for the volume: 16.021 A^3/atom. The total energy comes out at -4.84 eV/atom.

---

Crystalline Zn2Ag3Au8 at its relaxed geometry, computed with GGA-PBE.

Geometry as extended XYZ:
```
13
Lattice="7.1105 0.0000 0.0000 0.0000 4.4564 0.0000 -3.4353 0.0000 7.6858" Properties=species:S:1:pos:R:3 pbc="T T T"
Zn 0.0986 0.0000 3.5526
Zn 3.5766 0.0000 4.1332
Ag 0.0000 0.0000 0.0000
Ag -1.3440 2.2282 7.6467
Ag 5.0192 2.2282 0.0391
Au 0.0564 2.2282 2.0617
Au -1.4433 0.0000 5.7672
Au 0.1024 2.2282 5.0323
Au 2.1000 0.0000 1.8176
Au 1.5752 0.0000 5.8682
Au 3.5728 2.2282 2.6535
Au 5.1185 0.0000 1.9186
Au 3.6188 2.2282 5.6241
```

As for the symmetry: P2/m (10). As for the volume: 18.734 A^3/atom. For the formation energy, the calculation gives -0.042 eV per atom. The total energy comes out at -2.91 eV/atom.

---

Crystalline Ce3AlAu at its relaxed geometry, computed with GGA-PBE.

Geometry as extended XYZ:
```
10
Lattice="4.2921 0.0000 0.0000 0.0000 7.5302 0.0000 -1.6485 0.0000 7.8031" Properties=species:S:1:pos:R:3 pbc="T T T"
Ce -0.3258 1.8826 3.5174
Ce 1.0805 0.0531 2.0473
Ce 1.0805 3.7120 2.0473
Ce 1.5631 3.8182 5.7558
Ce 1.5631 7.4771 5.7558
Ce 2.9694 5.6477 4.2857
Al -0.6234 5.6477 7.1993
Al 3.2670 1.8826 0.6038
Au -0.5254 1.8826 6.9343
Au 3.1691 5.6477 0.8688
```

As for the symmetry: P2_1/m (11). As for the volume: 25.220 A^3/atom. For the formation energy, the calculation gives -0.304 eV per atom. The total energy comes out at -5.27 eV/atom.

---

Crystalline CuSnBr2 at its relaxed geometry, computed with GGA-PBE.

Geometry as extended XYZ:
```
16
Lattice="7.3353 0.0000 0.0000 0.0000 7.3353 0.0000 0.0000 0.0000 7.3353" Properties=species:S:1:pos:R:3 pbc="T T T"
Cu 0.0000 0.0000 0.0000
Cu 0.0000 3.6676 3.6676
Cu 3.6676 0.0000 3.6676
Cu 3.6676 3.6676 0.0000
Sn 0.0000 0.0000 3.6676
Sn 0.0000 3.6676 0.0000
Sn 3.6676 0.0000 0.0000
Sn 3.6676 3.6676 3.6676
Br 1.8338 1.8338 1.8338
Br 1.8338 1.8338 5.5014
Br 1.8338 5.5014 1.8338
Br 1.8338 5.5014 5.5014
Br 5.5014 1.8338 1.8338
Br 5.5014 1.8338 5.5014
Br 5.5014 5.5014 1.8338
Br 5.5014 5.5014 5.5014
```

As for the symmetry: Fm-3m (225). As for the volume: 24.668 A^3/atom. Its formation energy from raw total energies is 0.076 eV per atom. The total energy comes out at -2.79 eV/atom.

---

Crystalline Ac6In2Os at its relaxed geometry, computed with GGA-PBE.

Geometry as extended XYZ:
```
18
Lattice="7.2573 0.0000 0.0000 0.0000 10.5857 0.0000 -5.6969 0.0000 9.0903" Properties=species:S:1:pos:R:3 pbc="T T T"
Ac -1.7353 1.4421 4.2200
Ac -4.5838 3.8508 8.7651
Ac -0.2724 7.8959 3.9751
Ac -3.1209 7.9827 8.5202
Ac 1.2603 0.3722 1.7012
Ac -1.5882 4.9207 6.2463
Ac 3.1485 5.6650 2.8439
Ac 0.3000 10.2136 7.3891
Ac 4.6812 2.6030 0.5701
Ac 1.8327 2.6898 5.1152
Ac 6.1441 6.7349 0.3252
Ac 3.2956 9.1437 4.8703
In -3.1720 0.9268 7.4274
In -0.3235 4.3661 2.8823
In 1.8838 6.2196 6.2080
In 4.7323 9.6590 1.6629
Os 0.7802 0.0000 4.5451
Os 3.6286 5.2929 0.0000
```

As for the symmetry: P2_1/c (14). As for the volume: 38.797 A^3/atom. For the formation energy, the calculation gives -0.176 eV per atom. The total energy comes out at -4.77 eV/atom.

---

Crystalline InS2IN at its relaxed geometry, computed with GGA-PBE.

Geometry as extended XYZ:
```
5
Lattice="5.2716 0.0000 0.0000 0.0000 5.2716 0.0000 0.0000 0.0000 3.9958" Properties=species:S:1:pos:R:3 pbc="T T T"
In 0.0000 0.0000 0.0000
S 0.0000 2.6358 1.9979
S 2.6358 0.0000 1.9979
I 2.6358 2.6358 1.9979
N 2.6358 2.6358 0.0000
```

As for the symmetry: P4/mmm (123). As for the volume: 22.208 A^3/atom. Its formation energy from raw total energies is 1.045 eV per atom. The total energy comes out at -3.13 eV/atom.

---

- The highest volume belongs to which entry?
  CsKP